a | VASP calculation (PBE-GGA) on a relaxed structure of K2BaCl.

Geometry as CIF:
```
data_K2BaCl
_cell_length_a 9.652
_cell_length_b 9.652
_cell_length_c 9.652
_cell_angle_alpha 90.00
_cell_angle_beta 90.00
_cell_angle_gamma 90.00
_space_group_name_H-M_alt 'F m -3 m'
_space_group_IT_number 225
_space_group_name_Hall '-F 4 2 3'
loop_
_atom_site_label
_atom_site_fract_x
_atom_site_fract_y
_atom_site_fract_z
_atom_site_occupancy
K1 0.250 0.250 0.250 1
Ba1 0.000 0.000 0.000 1
Cl1 0.000 0.000 0.500 1
```

Results
size of the total moment: 0.00 Bohr magnetons per cell

=====

b | VASP calculation (PBE-GGA) on a relaxed structure of K2BaCl.

Geometry as CIF:
```
data_K2BaCl
_cell_length_a 4.301
_cell_length_b 4.301
_cell_length_c 12.730
_cell_angle_alpha 90.00
_cell_angle_beta 90.00
_cell_angle_gamma 90.00
_space_group_name_H-M_alt 'P 4 m m'
_space_group_IT_number 99
loop_
_space_group_symop_operation_xyz
'x,y,z'
'-y,x,z'
'-x,-y,z'
'y,-x,z'
'-x,y,z'
'y,x,z'
'x,-y,z'
'-y,-x,z'
loop_
_atom_site_label
_atom_site_fract_x
_atom_site_fract_y
_atom_site_fract_z
_atom_site_occupancy
K1 0.000 0.000 0.000 1
K2 0.500 0.500 0.290 1
Ba1 0.000 0.000 0.588 1
Cl1 0.500 0.500 0.661 1
```

Results
size of the total moment: 0.00 Bohr magnetons per cell

=====

Least stable of them? a.

=====

a | VASP calculation (PBE-GGA) on a relaxed structure of K2BaCl.

Geometry as CIF:
```
data_K2BaCl
_cell_length_a 5.095
_cell_length_b 5.095
_cell_length_c 16.183
_cell_angle_alpha 90.00
_cell_angle_beta 90.00
_cell_angle_gamma 90.00
_space_group_name_H-M_alt 'I 4/m m m'
_space_group_IT_number 139
_space_group_name_Hall '-I 4 2'
loop_
_atom_site_label
_atom_site_fract_x
_atom_site_fract_y
_atom_site_fract_z
_atom_site_occupancy
K1 0.000 0.500 0.250 1
Ba1 0.000 0.000 0.000 1
Cl1 0.000 0.000 0.500 1
```

Results
size of the total moment: 0.00 Bohr magnetons per cell

=====

b | VASP calculation (PBE-GGA) on a relaxed structure of K2BaCl.

Geometry as CIF:
```
data_K2BaCl
_cell_length_a 9.728
_cell_length_b 9.728
_cell_length_c 11.027
_cell_angle_alpha 90.00
_cell_angle_beta 90.00
_cell_angle_gamma 90.00
_space_group_name_H-M_alt 'I -4 2 d'
_space_group_IT_number 122
_space_group_name_Hall 'I -4 2bw'
loop_
_atom_site_label
_atom_site_fract_x
_atom_site_fract_y
_atom_site_fract_z
_atom_site_occupancy
K1 0.104 0.250 0.125 1
Ba1 0.000 0.000 0.500 1
Cl1 0.000 0.000 0.000 1
```

Results
size of the total moment: 3.84 Bohr magnetons per cell

=====

c | VASP calculation (PBE-GGA) on a relaxed structure of K2BaCl.

Geometry as CIF:
```
data_K2BaCl
_cell_length_a 4.507
_cell_length_b 7.759
_cell_length_c 12.478
_cell_angle_alpha 90.00
_cell_angle_beta 90.00
_cell_angle_gamma 90.00
_space_group_name_H-M_alt 'C m m 2'
_space_group_IT_number 35
loop_
_space_group_symop_operation_xyz
'x,y,z'
'-x,-y,z'
'-x,y,z'
'x,-y,z'
'x+1/2,y+1/2,z'
'-x+1/2,-y+1/2,z'
'-x+1/2,y+1/2,z'
'x+1/2,-y+1/2,z'
loop_
_atom_site_label
_atom_site_fract_x
_atom_site_fract_y
_atom_site_fract_z
_atom_site_occupancy
K1 0.000 0.000 0.000 1
K2 0.000 0.500 0.318 1
Ba1 0.000 0.500 0.682 1
Cl1 0.000 0.000 0.501 1
```

Results
size of the total moment: 0.00 Bohr magnetons per cell

=====

d | VASP calculation (PBE-GGA) on a relaxed structure of K2BaCl.

Geometry as CIF:
```
data_K2BaCl
_cell_length_a 4.056
_cell_length_b 4.056
_cell_length_c 11.517
_cell_angle_alpha 90.00
_cell_angle_beta 90.00
_cell_angle_gamma 90.00
_space_group_name_H-M_alt 'P 4/m m m'
_space_group_IT_number 123
_space_group_name_Hall '-P 4 2'
loop_
_atom_site_label
_atom_site_fract_x
_atom_site_fract_y
_atom_site_fract_z
_atom_site_occupancy
K1 0.000 0.000 0.160 1
Ba1 0.500 0.500 0.500 1
Cl1 0.500 0.500 0.000 1
```

Results
size of the total moment: 0.42 Bohr magnetons per cell

=====

Least stable of them? a.

=====

a | VASP calculation (PBE-GGA) on a relaxed structure of K2BaCl.

Geometry as CIF:
```
data_K2BaCl
_cell_length_a 4.753
_cell_length_b 7.229
_cell_length_c 11.999
_cell_angle_alpha 90.00
_cell_angle_beta 90.00
_cell_angle_gamma 90.00
_space_group_name_H-M_alt 'C m m m'
_space_group_IT_number 65
_space_group_name_Hall '-C 2 2'
loop_
_atom_site_label
_atom_site_fract_x
_atom_site_fract_y
_atom_site_fract_z
_atom_site_occupancy
K1 0.000 0.000 0.167 1
Ba1 0.000 0.500 0.500 1
Cl1 0.000 0.500 0.000 1
```

Results
size of the total moment: 1.17 Bohr magnetons per cell

=====

b | VASP calculation (PBE-GGA) on a relaxed structure of K2BaCl.

Geometry as CIF:
```
data_K2BaCl
_cell_length_a 5.581
_cell_length_b 5.581
_cell_length_c 13.433
_cell_angle_alpha 90.00
_cell_angle_beta 90.00
_cell_angle_gamma 90.00
_space_group_name_H-M_alt 'I -4 m 2'
_space_group_IT_number 119
_space_group_name_Hall 'I -4 -2'
loop_
_atom_site_label
_atom_site_fract_x
_atom_site_fract_y
_atom_site_fract_z
_atom_site_occupancy
K1 0.000 0.000 0.000 1
K2 0.000 0.500 0.250 1
Ba1 0.000 0.500 0.750 1
Cl1 0.000 0.000 0.500 1
```

Results
size of the total moment: 1.66 Bohr magnetons per cell

=====

Least stable of them? b.

=====

a | VASP calculation (PBE-GGA) on a relaxed structure of K2BaCl.

Geometry as CIF:
```
data_K2BaCl
_cell_length_a 6.416
_cell_length_b 14.462
_cell_length_c 4.625
_cell_angle_alpha 90.00
_cell_angle_beta 90.00
_cell_angle_gamma 90.00
_space_group_name_H-M_alt 'C m m m'
_space_group_IT_number 65
_space_group_name_Hall '-C 2 2'
loop_
_atom_site_label
_atom_site_fract_x
_atom_site_fract_y
_atom_site_fract_z
_atom_site_occupancy
K1 0.000 0.166 0.000 1
Ba1 0.000 0.500 0.500 1
Cl1 0.000 0.000 0.500 1
```

Results
size of the total moment: 0.00 Bohr magnetons per cell

=====

b | VASP calculation (PBE-GGA) on a relaxed structure of K2BaCl.

Geometry as CIF:
```
data_K2BaCl
_cell_length_a 9.444
_cell_length_b 9.444
_cell_length_c 9.444
_cell_angle_alpha 90.00
_cell_angle_beta 90.00
_cell_angle_gamma 90.00
_space_group_name_H-M_alt 'F -4 3 m'
_space_group_IT_number 216
_space_group_name_Hall 'F -4 2 3'
loop_
_atom_site_label
_atom_site_fract_x
_atom_site_fract_y
_atom_site_fract_z
_atom_site_occupancy
K1 0.000 0.000 0.000 1
K2 0.250 0.250 0.250 1
Ba1 0.000 0.000 0.500 1
Cl1 0.250 0.250 0.750 1
```

Results
size of the total moment: 0.00 Bohr magnetons per cell

=====

Least stable of them? b.

=====

a | VASP calculation (PBE-GGA) on a relaxed structure of K2BaCl4.

Geometry as CIF:
```
data_K2BaCl4
_cell_length_a 6.002
_cell_length_b 6.002
_cell_length_c 16.513
_cell_angle_alpha 90.00
_cell_angle_beta 90.00
_cell_angle_gamma 90.00
_space_group_name_H-M_alt 'I 4/m m m'
_space_group_IT_number 139
_space_group_name_Hall '-I 4 2'
loop_
_atom_site_label
_atom_site_fract_x
_atom_site_fract_y
_atom_site_fract_z
_atom_site_occupancy
K1 0.000 0.000 0.140 1
Ba1 0.000 0.000 0.500 1
Cl1 0.000 0.000 0.318 1
Cl2 0.000 0.500 0.000 1
```

Results
size of the total moment: 0.32 Bohr magnetons per cell

=====

b | VASP calculation (PBE-GGA) on a relaxed structure of K2BaCl4.

Geometry as CIF:
```
data_K2BaCl4
_cell_length_a 4.364
_cell_length_b 14.982
_cell_length_c 14.673
_cell_angle_alpha 90.00
_cell_angle_beta 90.00
_cell_angle_gamma 90.00
_space_group_name_H-M_alt 'C m c m'
_space_group_IT_number 63
_space_group_name_Hall '-C 2c 2'
loop_
_atom_site_label
_atom_site_fract_x
_atom_site_fract_y
_atom_site_fract_z
_atom_site_occupancy
K1 0.000 0.130 0.067 1
Ba1 0.000 0.380 0.250 1
Cl1 0.000 0.025 0.250 1
Cl2 0.000 0.216 0.627 1
Cl3 0.000 0.500 0.000 1
```

Results
size of the total moment: 0.47 Bohr magnetons per cell

=====

Least stable of them? a.

=====

a | VASP calculation (PBE-GGA) on a relaxed structure of KBaCl.

Geometry as CIF:
```
data_KBaCl
_cell_length_a 4.235
_cell_length_b 4.235
_cell_length_c 17.437
_cell_angle_alpha 90.00
_cell_angle_beta 90.00
_cell_angle_gamma 90.00
_space_group_name_H-M_alt 'I 4 m m'
_space_group_IT_number 107
_space_group_name_Hall 'I 4 -2'
loop_
_atom_site_label
_atom_site_fract_x
_atom_site_fract_y
_atom_site_fract_z
_atom_site_occupancy
K1 0.000 0.000 0.000 1
Ba1 0.000 0.000 0.290 1
Cl1 0.000 0.000 0.726 1
```

Results
size of the total moment: 0.00 Bohr magnetons per cell

=====

b | VASP calculation (PBE-GGA) on a relaxed structure of KBaCl.

Geometry as CIF:
```
data_KBaCl
_cell_length_a 4.413
_cell_length_b 7.827
_cell_length_c 17.198
_cell_angle_alpha 90.00
_cell_angle_beta 90.00
_cell_angle_gamma 90.00
_space_group_name_H-M_alt 'F m m 2'
_space_group_IT_number 42
_space_group_name_Hall 'F 2 -2'
loop_
_atom_site_label
_atom_site_fract_x
_atom_site_fract_y
_atom_site_fract_z
_atom_site_occupancy
K1 0.000 0.000 0.000 1
Ba1 0.000 0.000 0.266 1
Cl1 0.000 0.000 0.634 1
```

Results
size of the total moment: 0.00 Bohr magnetons per cell

=====

Least stable of them? a.